1.
Tc2HF: optimized geometry, GGA-PBEsol.

Summary:
DOS at the Fermi energy = 3.288 states/eV/f.u.
Crystal system = cubic
Electronic total energy = -6.183 eV per atom

a = 3.8511 Å, b = 3.8511 Å, c = 3.8511 Å
α = 60.00°, β = 60.00°, γ = 60.00°
Last column: nearest neighbours and their distance in Å.
Positions (direct):
H: 0.0000 0.0000 0.0000  8 Tc 2.36
Tc: 0.2500 0.2500 0.2500  4 F 2.36, 4 H 2.36
Tc: 0.7500 0.7500 0.7500  4 H 2.36, 4 F 2.36
F: 0.5000 0.5000 0.5000  8 Tc 2.36


2.
TiHF2: optimized geometry, GGA-PBEsol.

Summary:
DOS at the Fermi energy = 1.956 states/eV/f.u.
Crystal system = trigonal
Electronic total energy = -5.408 eV per atom

a = 2.7886 Å, b = 2.7886 Å, c = 5.8369 Å
α = 76.18°, β = 76.18°, γ = 60.00°
Last column: nearest neighbours and their distance in Å.
Positions (direct):
H: 0.0000 0.0000 0.0000  2 F 1.15
F: 0.9318 0.9318 0.2047  1 H 1.15
F: 0.0682 0.0682 0.7953  1 H 1.15
Ti: 0.5000 0.5000 0.5000  6 F 2.31


3.
Tl2HF: optimized geometry, GGA-PBEsol.

Summary:
Crystal system = tetragonal
Electronic total energy = -3.158 eV per atom

a = 5.8408 Å, b = 5.8408 Å, c = 6.7399 Å
α = 115.68°, β = 115.68°, γ = 90.00°
Last column: nearest neighbours and their distance in Å.
Positions (direct):
H: 0.7500 0.2500 0.5000  4 Tl 2.35
H: 0.5000 0.5000 0.0000  4 Tl 2.35
Tl: 0.4058 0.8750 0.2500  2 H 2.35, 2 F 2.57
Tl: 0.8442 0.3750 0.2500  2 H 2.35, 2 F 2.57
Tl: 0.1250 0.1558 0.7500  2 H 2.35, 2 F 2.57
Tl: 0.6250 0.5942 0.7500  2 H 2.35, 2 F 2.57
F: 0.2500 0.7500 0.5000  4 Tl 2.57
F: 0.0000 0.0000 0.0000  4 Tl 2.57


4.
HfF4: optimized geometry, GGA-PBEsol.

Summary:
E_form (uncorrected) = -3.833 eV/atom
DOS at the Fermi energy = 0.000 states/eV/f.u.
Crystal system = monoclinic
Electronic total energy = -7.476 eV per atom

a = 7.6232 Å, b = 7.6321 Å, c = 7.6321 Å
α = 99.71°, β = 116.77°, γ = 63.23°
Last column: nearest neighbours and their distance in Å.
Positions (direct):
Hf: 0.7500 0.2141 0.2141  8 F 2.05-2.15
Hf: 0.2500 0.7859 0.7859  8 F 2.05-2.15
Hf: 0.8329 0.3662 0.7765  8 F 2.04-2.11
Hf: 0.6671 0.7765 0.3662  8 F 2.04-2.11
Hf: 0.1671 0.6338 0.2235  8 F 2.04-2.11
Hf: 0.3329 0.2235 0.6338  8 F 2.04-2.11
F: 0.6064 0.2581 0.6829  2 Hf 2.04-2.08
F: 0.8936 0.6829 0.2581  2 Hf 2.04-2.08
F: 0.3936 0.7419 0.3171  2 Hf 2.04-2.08
F: 0.1064 0.3171 0.7419  2 Hf 2.04-2.08
F: 0.4251 0.4014 0.1831  2 Hf 2.08-2.15
F: 0.0749 0.1831 0.4014  2 Hf 2.08-2.15
F: 0.2500 0.3932 0.3932  2 Hf 2.11
F: 0.7500 0.6068 0.6068  2 Hf 2.11
F: 0.2823 0.5022 0.7389  2 Hf 2.05-2.07
F: 0.2177 0.7389 0.5022  2 Hf 2.05-2.07
F: 0.7177 0.4978 0.2611  2 Hf 2.05-2.07
F: 0.7823 0.2611 0.4978  2 Hf 2.05-2.07
F: 0.1497 0.7235 0.9698  2 Hf 2.07-2.09
F: 0.3503 0.9698 0.7235  2 Hf 2.07-2.09
F: 0.8503 0.2765 0.0302  2 Hf 2.07-2.09
F: 0.6497 0.0302 0.2765  2 Hf 2.07-2.09
F: 0.0000 0.5000 0.0000  2 Hf 2.05
F: 0.5000 0.0000 0.5000  2 Hf 2.05
F: 0.0444 0.0635 0.8290  2 Hf 2.07-2.11
F: 0.4556 0.8290 0.0635  2 Hf 2.07-2.11
F: 0.9556 0.9365 0.1710  2 Hf 2.07-2.11
F: 0.5444 0.1710 0.9365  2 Hf 2.07-2.11
F: 0.9251 0.8169 0.5986  2 Hf 2.08-2.15
F: 0.5749 0.5986 0.8169  2 Hf 2.08-2.15


5.
HfHgRuF2: optimized geometry, GGA-PBEsol.

Summary:
E_form (uncorrected) = 0.316 eV/atom
DOS at the Fermi energy = 2.267 states/eV/f.u.
Crystal system = tetragonal
Electronic total energy = -4.703 eV per atom

a = 4.0583 Å, b = 4.0583 Å, c = 6.3471 Å
α = 90.00°, β = 90.00°, γ = 90.00°
Last column: nearest neighbours and their distance in Å.
Positions (direct):
Ru: 0.5000 0.5000 0.5000  4 Hf 2.87
Hf: 0.0000 0.0000 0.5000  4 Ru 2.87, 2 Hg 3.17
Hg: 0.0000 0.0000 0.0000  4 F 2.03
F: 0.0000 0.5000 0.0000  2 Hg 2.03
F: 0.5000 0.0000 0.0000  2 Hg 2.03


6.
HfSn2HgF: optimized geometry, GGA-PBEsol.

Summary:
E_form (uncorrected) = 0.332 eV/atom
DOS at the Fermi energy = 5.736 states/eV/f.u.
Crystal system = tetragonal
Electronic total energy = -3.971 eV per atom

a = 5.3726 Å, b = 5.4998 Å, c = 5.4998 Å
α = 90.00°, β = 90.00°, γ = 90.00°
Last column: nearest neighbours and their distance in Å.
Positions (direct):
F: 0.5000 0.5000 0.5000  8 Sn 3.84, 4 Hg 3.89
Hf: 0.0000 0.0000 0.0000  2 Hg 2.69, 4 Sn 2.75
Hg: 0.5000 0.0000 0.0000  2 Hf 2.69
Sn: 0.0000 0.0000 0.5000  2 Hf 2.75
Sn: 0.0000 0.5000 0.0000  2 Hf 2.75


Q: What is the electronic total energy in the sixth record?
A: -3.971 eV per atom


What did the second record say?
TiHF2: optimized geometry, GGA-PBEsol.

Summary:
DOS at the Fermi energy = 1.956 states/eV/f.u.
Crystal system = trigonal
Electronic total energy = -5.408 eV per atom

a = 2.7886 Å, b = 2.7886 Å, c = 5.8369 Å
α = 76.18°, β = 76.18°, γ = 60.00°
Last column: nearest neighbours and their distance in Å.
Positions (direct):
H: 0.0000 0.0000 0.0000  2 F 1.15
F: 0.9318 0.9318 0.2047  1 H 1.15
F: 0.0682 0.0682 0.7953  1 H 1.15
Ti: 0.5000 0.5000 0.5000  6 F 2.31